[1]
4
Lattice="-1.370 0.160 2.468 1.193 -2.441 -0.782 8.012 2.545 4.281" Properties=species:S:1:pos:R:3 comment="ZnIrAu2 PBE-GGA optimized geometry" vol_a3_per_atom=16.4 e_form_kcal_per_mol_atoms=4.14 dos_ef_per_ev_cell=3.85 pbc="T T T"
Au 7.945 2.523 4.245
Au 4.073 1.294 2.176
Ir 1.915 -0.504 1.913
Zn 5.921 0.768 4.054

[2]
12
Lattice="-4.156 1.243 3.790 -1.189 -5.281 -1.970 7.047 -1.142 4.923" Properties=species:S:1:pos:R:3 comment="Ho2Zn3Cd PBE-GGA optimized geometry" vol_a3_per_atom=21.1 relative_energy_ev_per_atom=0.000 e_form_kcal_per_mol_atoms=-7.83 dos_ef_per_ev_cell=7.78 pbc="T T T"
Ho 1.592 -4.221 1.932
Ho -4.021 -3.038 1.369
Ho 0.109 -0.959 4.811
Ho -1.324 -1.000 0.451
Zn -1.201 -4.205 0.383
Zn 4.423 -4.319 3.409
Zn 2.902 -0.975 6.361
Zn -2.722 -0.861 3.335
Zn 1.420 -1.026 1.894
Zn 0.281 -4.154 4.849
Cd -1.218 -3.070 2.849
Cd 2.920 -2.110 3.894

[3]
12
Lattice="4.868 0.000 0.000 0.000 4.868 0.000 0.000 0.000 14.592" Properties=species:S:1:pos:R:3 comment="La2PmTl9 PBE-GGA optimized geometry" vol_a3_per_atom=28.8 e_form_kcal_per_mol_atoms=-7.92 dos_ef_per_ev_cell=4.76 pbc="T T T"
La 0.000 0.000 4.824
La 0.000 0.000 9.767
Pm 0.000 0.000 0.000
Tl 2.434 2.434 0.000
Tl 2.434 2.434 4.858
Tl 2.434 2.434 9.734
Tl 2.434 0.000 2.386
Tl 2.434 0.000 7.296
Tl 2.434 0.000 12.205
Tl 0.000 2.434 2.386
Tl 0.000 2.434 7.296
Tl 0.000 2.434 12.205

[4]
64
Lattice="7.208 -0.002 -0.001 -1.975 7.471 -0.003 -0.733 -0.250 13.106" Properties=species:S:1:pos:R:3 comment="Ti11BeO20 PBE-GGA optimized geometry" vol_a3_per_atom=11.0 energy_ev_per_cell=-566.370 dos_ef_per_ev_cell=27.01 pbc="T T T"
Ti -1.885 6.804 2.645
Ti -1.120 3.091 9.302
Ti 6.492 2.164 1.655
Ti 6.522 1.419 4.832
Ti 0.134 6.956 5.544
Ti 0.802 5.266 1.049
Ti 0.808 4.135 6.764
Ti 0.878 3.005 12.187
Ti 1.107 4.598 3.743
Ti 1.338 1.413 7.660
Ti 2.122 0.641 0.192
Ti 2.377 6.579 12.910
Ti 3.161 5.807 5.442
Ti 3.392 2.622 9.359
Ti 3.622 4.215 0.914
Ti 3.692 3.085 6.338
Ti 3.697 1.954 12.053
Ti 4.366 0.264 7.557
Ti -2.022 5.801 8.270
Ti -1.992 5.055 11.447
Ti 5.620 4.129 3.799
Ti 6.385 0.416 10.457
Be 2.160 -0.108 10.271
Be 2.340 7.328 2.830
O -1.195 6.565 10.071
O -1.082 5.940 12.852
O -1.045 7.005 7.134
O -0.435 5.440 2.628
O -0.511 3.848 10.959
O -0.464 4.487 8.132
O -0.264 4.981 5.255
O 0.003 2.863 3.494
O 0.131 1.629 9.124
O 0.248 1.085 11.882
O 0.232 2.321 6.257
O 0.275 3.419 0.629
O 0.823 0.213 4.374
O 0.813 0.808 1.598
O 1.633 7.127 1.395
O 1.528 4.841 12.685
O 1.691 6.583 4.107
O 1.610 6.061 6.800
O 2.215 3.273 7.893
O 2.255 4.467 2.258
O 2.245 2.753 10.844
O 2.285 3.947 5.209
O 2.890 1.159 6.302
O 2.809 0.636 8.994
O 2.972 2.379 0.417
O 2.867 0.093 11.707
O 3.687 6.412 11.503
O 3.677 7.007 8.728
O 4.224 3.801 12.472
O 4.267 4.898 6.844
O 4.251 6.135 1.219
O 4.369 5.591 3.978
O 4.496 4.357 9.607
O 4.763 2.239 7.847
O 4.964 2.733 4.970
O 5.011 3.372 2.143
O 4.934 1.780 10.474
O 5.544 0.215 5.967
O 5.582 1.280 0.249
O 5.694 0.655 3.031

[5]
3
Lattice="3.392 0.000 0.000 -1.696 2.938 0.000 0.000 0.000 8.640" Properties=species:S:1:pos:R:3 comment="HgSbPb PBE-GGA optimized geometry" vol_a3_per_atom=28.7 relative_energy_ev_per_atom=0.030 dos_ef_per_ev_cell=1.75 pbc="T T T"
Hg 0.000 0.000 8.612
Pb 1.696 0.979 2.896
Sb 0.000 1.959 5.771

[6]
3
Lattice="4.934 0.000 0.000 -2.467 4.273 0.000 0.000 0.000 2.635" Properties=species:S:1:pos:R:3 comment="LiCaTc PBE-GGA optimized geometry" vol_a3_per_atom=18.5 relative_energy_ev_per_atom=0.415 e_form_kcal_per_mol_atoms=13.02 dos_ef_per_ev_cell=3.16 pbc="T T T"
Ca 0.000 0.000 0.228
Li 2.467 1.424 0.755
Tc 0.000 2.849 1.652